Entry from the Alexandria database: Tb3Pr4Tm after structural relaxation (PBE-GGA). Values from VASP.

Summary:
**Volume**: 34.1 A^3/atom
**SG**: No. 31
**Energy above the lowest structure with this stoichiometry**: 0.0 meV per atom
**Formation energy from the elements**: 0.03 eV per atom

The structure in Quantum ESPRESSO input format:
```
&SYSTEM
  ibrav = 0, nat = 16, ntyp = 3
/
ATOMIC_SPECIES
Tb 158.93 Tb.upf
Pr 140.91 Pr.upf
Tm 168.93 Tm.upf
CELL_PARAMETERS angstrom
-0.7476 -6.0524 1.7213
6.8238 -0.0580 2.7595
-4.1615 3.4614 10.3635
ATOMIC_POSITIONS crystal
Tb 0.6490 0.6223 0.0000
Tb 0.9805 0.6204 0.2502
Tb 0.4805 0.3796 0.2498
Tb 0.1490 0.3777 0.5000
Tb 0.4805 0.3796 0.7502
Tb 0.9805 0.6204 0.7498
Pr 0.1500 0.8715 0.0000
Pr 0.6415 0.1279 0.0000
Pr 0.9836 0.1292 0.2470
Pr 0.4836 0.8708 0.2530
Pr 0.1415 0.8721 0.5000
Pr 0.6500 0.1285 0.5000
Pr 0.4836 0.8708 0.7470
Pr 0.9836 0.1292 0.7530
Tm 0.1467 0.3815 0.0000
Tm 0.6467 0.6185 0.5000
```